1.
First-principles (PBEsol) data for a geometry-optimized MgAg2IrPt structure, as listed in Alexandria via LeMat-Bulk.

Cell lengths 4.9930, 4.9930, 4.7054 Å; angles 90.00, 90.00, 90.00 degrees
Fractional coordinates of all 5 atoms:
Mg: 0.0000 0.0000 0.0000
Ag: 0.0000 0.5000 0.5000
Ag: 0.5000 0.0000 0.5000
Ir: 0.5000 0.5000 0.5000
Pt: 0.5000 0.5000 0.0000

Calculated values
**Space-group type**: No. 123
**Calculated volume**: 117 Å³/f.u.

***

2.
First-principles (PBEsol) data for a geometry-optimized MnAgIr2 structure, as listed in Alexandria via LeMat-Bulk.

Cell lengths 2.7138, 4.2102, 5.2115 Å; angles 90.00, 104.33, 90.00 degrees
Fractional coordinates of all 4 atoms:
Mn: 0.0000 0.0000 0.0000
Ag: 0.0000 0.0000 0.5000
Ir: 0.3772 0.5000 0.2326
Ir: 0.6228 0.5000 0.7674

Calculated values
**Space-group type**: No. 10
**Calculated volume**: 58 Å³/f.u.

***

3.
First-principles (PBEsol) data for a geometry-optimized MnAgIr2 structure, as listed in Alexandria via LeMat-Bulk.

Cell lengths 4.7166, 4.7166, 4.6990 Å; angles 100.57, 100.57, 34.21 degrees
Fractional coordinates of all 4 atoms:
Mn: 0.0000 0.0000 0.0000
Ag: 0.2455 0.2455 0.7681
Ir: 0.4865 0.4865 0.4689
Ir: 0.7424 0.7424 0.2711

Calculated values
**Space-group type**: No. 8
**Calculated volume**: 58 Å³/f.u.

***

4.
First-principles (PBEsol) data for a geometry-optimized MnAgIr2 structure, as listed in Alexandria via LeMat-Bulk.

Cell lengths 2.6800, 2.6800, 7.6512 Å; angles 90.00, 90.00, 90.00 degrees
Fractional coordinates of all 4 atoms:
Mn: 0.0000 0.0000 0.0000
Ag: 0.0000 0.0000 0.5000
Ir: 0.5000 0.5000 0.2186
Ir: 0.5000 0.5000 0.7814

Calculated values
**Space-group type**: No. 123
**Calculated volume**: 55 Å³/f.u.

***

5.
First-principles (PBEsol) data for a geometry-optimized MnAgIr2 structure, as listed in Alexandria via LeMat-Bulk.

Cell lengths 4.6472, 4.6472, 4.6472 Å; angles 130.92, 130.92, 71.94 degrees
Fractional coordinates of all 4 atoms:
Mn: 0.0000 0.0000 0.0000
Ag: 0.5000 0.5000 0.0000
Ir: 0.2500 0.7500 0.5000
Ir: 0.7500 0.2500 0.5000

Calculated values
**Space-group type**: No. 139
**Calculated volume**: 56 Å³/f.u.

***

6.
First-principles (PBEsol) data for a geometry-optimized MnTcAgIr2 structure, as listed in Alexandria via LeMat-Bulk.

Cell lengths 4.5795, 4.5795, 4.9274 Å; angles 90.00, 90.00, 90.00 degrees
Fractional coordinates of all 5 atoms:
Mn: 0.0000 0.0000 0.0000
Tc: 0.5000 0.5000 0.5000
Ag: 0.5000 0.5000 0.0000
Ir: 0.0000 0.5000 0.5000
Ir: 0.5000 0.0000 0.5000

Calculated values
**Space-group type**: No. 123
**Calculated volume**: 103 Å³/f.u.

***

7.
First-principles (PBEsol) data for a geometry-optimized Ag2MoIr structure, as listed in Alexandria via LeMat-Bulk.

Cell lengths 4.7493, 4.7493, 4.7493 Å; angles 130.12, 130.12, 73.21 degrees
Fractional coordinates of all 4 atoms:
Ag: 0.0000 0.0000 0.0000
Ag: 0.7500 0.2500 0.5000
Mo: 0.2500 0.7500 0.5000
Ir: 0.5000 0.5000 0.0000

Calculated values
**Space-group type**: No. 119
**Calculated volume**: 61 Å³/f.u.

***

8.
First-principles (PBEsol) data for a geometry-optimized AgMo2Ir structure, as listed in Alexandria via LeMat-Bulk.

Cell lengths 4.8759, 4.8759, 2.7237 Å; angles 90.00, 90.00, 112.49 degrees
Fractional coordinates of all 4 atoms:
Ag: 0.0000 0.0000 0.0000
Mo: 0.0000 0.5000 0.5000
Mo: 0.5000 0.0000 0.5000
Ir: 0.5000 0.5000 0.0000

Calculated values
**Space-group type**: No. 65
**Calculated volume**: 60 Å³/f.u.

***

no.,theoretical density (Mg/m³),formation energy (meV/atom)
1,8.9,941
2,15.8,271
3,15.8,248
4,16.5,117
5,16.2,261
6,10.4,1718
7,13.7,402
8,13.7,178